Below is a geometry-optimized ReHgTeN2 structure, with properties calculated at the PBE level.

CIF file:
```
data_ReHgTeN2
_space_group_name_H-M_alt 'P 4/m m m'
_space_group_IT_number 123
_space_group_name_Hall '-P 4 2'
_cell_length_a 4.193
_cell_length_b 4.193
_cell_length_c 6.564
_cell_angle_alpha 90.00
_cell_angle_beta 90.00
_cell_angle_gamma 90.00
loop_
_atom_site_label
_atom_site_fract_x
_atom_site_fract_y
_atom_site_fract_z
_atom_site_occupancy
Re1 0.000 0.000 0.000 1
Hg1 0.500 0.500 0.500 1
Te1 0.500 0.500 0.000 1
N1 0.000 0.500 0.500 1
```

Summary:
Formation energy without anion corrections   2.58 eV/atom
Spin magnetization   0.989 μB per formula unit
Density   7.8 Mg/m³

=====

Below is a geometry-optimized ReHgTe2N structure, with properties calculated at the PBE level.

CIF file:
```
data_ReHgTe2N
_space_group_name_H-M_alt 'P 4/m m m'
_space_group_IT_number 123
_space_group_name_Hall '-P 4 2'
_cell_length_a 5.116
_cell_length_b 5.116
_cell_length_c 5.376
_cell_angle_alpha 90.00
_cell_angle_beta 90.00
_cell_angle_gamma 90.00
loop_
_atom_site_label
_atom_site_fract_x
_atom_site_fract_y
_atom_site_fract_z
_atom_site_occupancy
Re1 0.000 0.000 0.000 1
Hg1 0.000 0.000 0.500 1
Te1 0.000 0.500 0.000 1
N1 0.500 0.500 0.500 1
```

Summary:
Formation energy without anion corrections   1.67 eV/atom
Spin magnetization   0.521 μB per formula unit
Density   7.7 Mg/m³

=====

Below is a geometry-optimized Tl2ReHgN structure, with properties calculated at the PBE level.

CIF file:
```
data_Tl2ReHgN
_space_group_name_H-M_alt 'P 4/m m m'
_space_group_IT_number 123
_space_group_name_Hall '-P 4 2'
_cell_length_a 5.368
_cell_length_b 5.368
_cell_length_c 5.321
_cell_angle_alpha 90.00
_cell_angle_beta 90.00
_cell_angle_gamma 90.00
loop_
_atom_site_label
_atom_site_fract_x
_atom_site_fract_y
_atom_site_fract_z
_atom_site_occupancy
Tl1 0.000 0.500 0.000 1
Re1 0.000 0.000 0.000 1
Hg1 0.000 0.000 0.500 1
N1 0.500 0.500 0.500 1
```

Summary:
Formation energy without anion corrections   1.63 eV/atom
Spin magnetization   3.812 μB per formula unit
Density   8.8 Mg/m³

=====

Below is a geometry-optimized ZrReHgN2 structure, with properties calculated at the PBE level.

CIF file:
```
data_ZrReHgN2
_space_group_name_H-M_alt 'P 4/m m m'
_space_group_IT_number 123
_space_group_name_Hall '-P 4 2'
_cell_length_a 4.144
_cell_length_b 4.144
_cell_length_c 5.294
_cell_angle_alpha 90.00
_cell_angle_beta 90.00
_cell_angle_gamma 90.00
loop_
_atom_site_label
_atom_site_fract_x
_atom_site_fract_y
_atom_site_fract_z
_atom_site_occupancy
Zr1 0.000 0.000 0.000 1
Re1 0.500 0.500 0.000 1
Hg1 0.500 0.500 0.500 1
N1 0.000 0.500 0.500 1
```

Summary:
Formation energy without anion corrections   2.36 eV/atom
Spin magnetization   3.034 μB per formula unit
Density   9.2 Mg/m³

=====

Below is a geometry-optimized Hg3RhN structure, with properties calculated at the PBE level.

CIF file:
```
data_Hg3RhN
_space_group_name_H-M_alt 'P m -3 m'
_space_group_IT_number 221
_space_group_name_Hall '-P 4 2 3'
_cell_length_a 5.301
_cell_length_b 5.301
_cell_length_c 5.301
_cell_angle_alpha 90.00
_cell_angle_beta 90.00
_cell_angle_gamma 90.00
loop_
_atom_site_label
_atom_site_fract_x
_atom_site_fract_y
_atom_site_fract_z
_atom_site_occupancy
Hg1 0.000 0.000 0.500 1
Rh1 0.000 0.000 0.000 1
N1 0.500 0.500 0.500 1
```

Summary:
Formation energy without anion corrections   1.15 eV/atom
Spin magnetization   2.884 μB per formula unit
Density   8.0 Mg/m³

=====

Below is a geometry-optimized Hg3RhN structure, with properties calculated at the PBE level.

CIF file:
```
data_Hg3RhN
_space_group_name_H-M_alt 'P m -3 m'
_space_group_IT_number 221
_space_group_name_Hall '-P 4 2 3'
_cell_length_a 4.586
_cell_length_b 4.586
_cell_length_c 4.586
_cell_angle_alpha 90.00
_cell_angle_beta 90.00
_cell_angle_gamma 90.00
loop_
_atom_site_label
_atom_site_fract_x
_atom_site_fract_y
_atom_site_fract_z
_atom_site_occupancy
Hg1 0.000 0.000 0.500 1
Rh1 0.500 0.500 0.500 1
N1 0.000 0.000 0.000 1
```

Summary:
Formation energy without anion corrections   1.09 eV/atom
Spin magnetization   0.000 μB per formula unit
Density   12.4 Mg/m³

=====

Below is a geometry-optimized HgRh2N structure, with properties calculated at the PBE level.

CIF file:
```
data_HgRh2N
_space_group_name_H-M_alt 'I -4 2 d'
_space_group_IT_number 122
_space_group_name_Hall 'I -4 2bw'
_cell_length_a 6.368
_cell_length_b 6.368
_cell_length_c 6.216
_cell_angle_alpha 90.00
_cell_angle_beta 90.00
_cell_angle_gamma 90.00
loop_
_atom_site_label
_atom_site_fract_x
_atom_site_fract_y
_atom_site_fract_z
_atom_site_occupancy
Hg1 0.000 0.000 0.000 1
Rh1 0.120 0.250 0.625 1
N1 0.000 0.000 0.500 1
```

Summary:
Formation energy without anion corrections   0.24 eV/atom
Spin magnetization   0.000 μB per formula unit
Density   11.1 Mg/m³

=====

Below is a geometry-optimized Hg2Rh2N structure, with properties calculated at the PBE level.

CIF file:
```
data_Hg2Rh2N
_space_group_name_H-M_alt 'P 4/m b m'
_space_group_IT_number 127
_space_group_name_Hall '-P 4 2ab'
_cell_length_a 5.615
_cell_length_b 5.615
_cell_length_c 5.582
_cell_angle_alpha 90.00
_cell_angle_beta 90.00
_cell_angle_gamma 90.00
loop_
_atom_site_label
_atom_site_fract_x
_atom_site_fract_y
_atom_site_fract_z
_atom_site_occupancy
Hg1 0.187 0.313 0.000 1
Rh1 0.234 0.734 0.500 1
N1 0.000 0.000 0.500 1
```

Summary:
Formation energy without anion corrections   0.33 eV/atom
Spin magnetization   0.000 μB per formula unit
Density   11.7 Mg/m³

=====

Below is a geometry-optimized HgRh2N structure, with properties calculated at the PBE level.

CIF file:
```
data_HgRh2N
_space_group_name_H-M_alt 'F m -3 m'
_space_group_IT_number 225
_space_group_name_Hall '-F 4 2 3'
_cell_length_a 6.183
_cell_length_b 6.183
_cell_length_c 6.183
_cell_angle_alpha 90.00
_cell_angle_beta 90.00
_cell_angle_gamma 90.00
loop_
_atom_site_label
_atom_site_fract_x
_atom_site_fract_y
_atom_site_fract_z
_atom_site_occupancy
Hg1 0.000 0.000 0.000 1
Rh1 0.250 0.250 0.250 1
N1 0.000 0.000 0.500 1
```

Summary:
Formation energy without anion corrections   1.38 eV/atom
Spin magnetization   1.271 μB per formula unit
Density   11.8 Mg/m³

=====

Below is a geometry-optimized ScHgRh2N structure, with properties calculated at the PBE level.

CIF file:
```
data_ScHgRh2N
_space_group_name_H-M_alt 'P 4/m m m'
_space_group_IT_number 123
_space_group_name_Hall '-P 4 2'
_cell_length_a 5.066
_cell_length_b 5.066
_cell_length_c 3.887
_cell_angle_alpha 90.00
_cell_angle_beta 90.00
_cell_angle_gamma 90.00
loop_
_atom_site_label
_atom_site_fract_x
_atom_site_fract_y
_atom_site_fract_z
_atom_site_occupancy
Sc1 0.000 0.000 0.000 1
Hg1 0.500 0.500 0.500 1
Rh1 0.000 0.500 0.500 1
N1 0.500 0.500 0.000 1
```

Summary:
Formation energy without anion corrections   1.33 eV/atom
Spin magnetization   0.008 μB per formula unit
Density   7.7 Mg/m³

=====

Below is a geometry-optimized Hg2RhSeN structure, with properties calculated at the PBE level.

CIF file:
```
data_Hg2RhSeN
_space_group_name_H-M_alt 'P 4/m m m'
_space_group_IT_number 123
_space_group_name_Hall '-P 4 2'
_cell_length_a 5.393
_cell_length_b 5.393
_cell_length_c 4.664
_cell_angle_alpha 90.00
_cell_angle_beta 90.00
_cell_angle_gamma 90.00
loop_
_atom_site_label
_atom_site_fract_x
_atom_site_fract_y
_atom_site_fract_z
_atom_site_occupancy
Hg1 0.000 0.500 0.000 1
Rh1 0.000 0.000 0.000 1
Se1 0.000 0.000 0.500 1
N1 0.500 0.500 0.500 1
```

Summary:
Formation energy without anion corrections   1.05 eV/atom
Spin magnetization   2.158 μB per formula unit
Density   7.3 Mg/m³

=====

Below is a geometry-optimized HgRhSeN2 structure, with properties calculated at the PBE level.

CIF file:
```
data_HgRhSeN2
_space_group_name_H-M_alt 'P 4/m m m'
_space_group_IT_number 123
_space_group_name_Hall '-P 4 2'
_cell_length_a 4.053
_cell_length_b 4.053
_cell_length_c 6.082
_cell_angle_alpha 90.00
_cell_angle_beta 90.00
_cell_angle_gamma 90.00
loop_
_atom_site_label
_atom_site_fract_x
_atom_site_fract_y
_atom_site_fract_z
_atom_site_occupancy
Hg1 0.000 0.000 0.000 1
Rh1 0.500 0.500 0.500 1
Se1 0.000 0.000 0.500 1
N1 0.000 0.500 0.000 1
```

Summary:
Formation energy without anion corrections   2.19 eV/atom
Spin magnetization   4.595 μB per formula unit
Density   6.8 Mg/m³